1.
Tb2PrH: relaxed, PBE.

Cell: 3.528 3.528 9.812 Å, 79.64 79.64 60.00°
Atoms (fractional coordinates):
Tb 0.120 0.120 0.639
Tb 0.880 0.880 0.361
H 0.500 0.500 0.500
Pr 0.000 0.000 0.000

Calculated values
E above lowest polymorph: 0 meV/atom
spin magnetization: 0.0 μB/cell

***

2.
MgBrCl: relaxed, PBE.

Cell: 6.531 3.778 6.981 Å, 90.00 91.66 90.00°
Atoms (fractional coordinates):
Br 0.911 0.750 0.779
Br 0.089 0.250 0.221
Cl 0.410 0.250 0.808
Cl 0.590 0.750 0.192
Mg 0.256 0.750 0.000
Mg 0.744 0.250 0.000

Calculated values
E above lowest polymorph: 0 meV/atom
raw formation energy: -1.6689 eV/atom
spin magnetization: 0.0 μB/cell

***

3.
PuPa2Pt: relaxed, PBE.

Cell: 4.989 4.989 4.989 Å, 60.00 60.00 60.00°
Atoms (fractional coordinates):
Pu 0.000 0.000 0.000
Pt 0.500 0.500 0.500
Pa 0.750 0.750 0.750
Pa 0.250 0.250 0.250

Calculated values
E above lowest polymorph: 49 meV/atom
spin magnetization: 6.8 μB/cell
formation enthalpy at 0 K: -0.373 eV per atom

***

4.
Li3Dy: relaxed, PBE.

Cell: 3.360 5.383 5.986 Å, 116.72 106.30 90.00°
Atoms (fractional coordinates):
Dy 0.000 0.918 0.000
Li 0.225 0.640 0.449
Li 0.775 0.191 0.551
Li 0.500 0.418 0.000

Calculated values
E above lowest polymorph: 106 meV/atom
spin magnetization: 0.0 μB/cell
formation enthalpy at 0 K: 0.152 eV per atom

***

5.
Sc2MnGe: relaxed, PBE.

Cell: 7.396 7.396 5.977 Å, 51.78 51.78 90.00°
Atoms (fractional coordinates):
Sc 0.375 0.374 0.750
Sc 0.875 0.876 0.750
Sc 0.626 0.125 0.250
Sc 0.124 0.625 0.250
Ge 0.000 0.000 0.000
Ge 0.750 0.250 0.500
Mn 0.500 0.500 0.000
Mn 0.250 0.750 0.500

Calculated values
spin magnetization: 4.9 μB/cell
formation enthalpy at 0 K: 0.125 eV per atom

***

6.
LiNdO2: relaxed, PBE.

Cell: 6.182 6.654 6.819 Å, 58.57 90.00 90.00°
Atoms (fractional coordinates):
O 0.806 0.030 0.114
O 0.605 0.555 0.265
O 0.105 0.445 0.235
O 0.306 0.970 0.386
O 0.194 0.970 0.886
O 0.895 0.555 0.765
O 0.694 0.030 0.614
O 0.395 0.445 0.735
Nd 0.636 0.778 0.463
Nd 0.864 0.778 0.963
Nd 0.364 0.222 0.537
Nd 0.136 0.222 0.037
Li 0.166 0.686 0.599
Li 0.834 0.314 0.401
Li 0.334 0.686 0.099
Li 0.666 0.314 0.901

Calculated values
raw formation energy: -2.7751 eV/atom
spin magnetization: 0.0 μB/cell

***

Q: Which formula does entry 1 have?
A: Tb2PrH